PBE NaCd5Ag3, optimized geometry; M_tot = 0.000 μB/atom; calculated total energy = -29.22 eV per cell; density of states at the Fermi level = 0.24 states/eV/atom; SG = No. 193; ρ = 8.04 g/cm³
1.0
-1.607 -5.542 1.061
8.110 -1.956 2.068
-5.439 2.738 6.062
Na Cd Ag
2 10 6
Cartesian
0.000 0.000 0.000
-0.803 -2.771 0.530
3.593 -0.391 3.399
-1.727 -1.598 5.261
-0.923 1.173 4.731
2.790 -3.162 3.929
0.583 -3.632 6.241
5.108 -5.208 4.865
1.473 -4.802 1.478
0.480 -1.127 2.950
-4.045 0.448 4.325
5.030 -2.695 1.650
-0.303 -3.892 3.545
3.304 -4.300 6.874
4.161 -5.450 2.164
1.366 -0.868 5.645
-2.241 -0.460 2.316
2.342 -2.047 0.965